(1)
# CaHgCl2, relaxed, DFT GGA-PBE
# * DOS at the Fermi energy: 0.00 states/eV/cell
# * excess energy over the best structure of this formula in the dataset: 0.1376 eV per atom
# * magnetization: 0.000 μB/f.u.
# * raw formation energy: -1.627 eV per atom
data_CaHgCl2
_chemical_formula_sum 'Ca1 Hg1 Cl2'
_symmetry_space_group_name_H-M 'P 1'
_symmetry_Int_Tables_number 1
_symmetry_space_group_name_Hall 'P 1'
_cell_length_a 4.3985
_cell_length_b 7.5244
_cell_length_c 7.5236
_cell_angle_alpha 38.15
_cell_angle_beta 90.00
_cell_angle_gamma 90.00
loop_
_atom_site_label
_atom_site_type_symbol
_atom_site_fract_x
_atom_site_fract_y
_atom_site_fract_z
Cl1 Cl 0.5000 0.2216 0.2215
Cl2 Cl 0.0000 0.8955 0.8954
Ca1 Ca 0.5000 0.7909 0.7910
Hg1 Hg 0.0000 0.5920 0.5921

(2)
# Ca4Hg2Cl, relaxed, DFT GGA-PBE
# * DOS at the Fermi energy: 10.35 states/eV/cell
# * magnetization: 0.001 μB/f.u.
# * raw formation energy: -0.631 eV per atom
data_Ca4Hg2Cl
_chemical_formula_sum 'Ca4 Hg2 Cl1'
_symmetry_space_group_name_H-M 'P 1'
_symmetry_Int_Tables_number 1
_symmetry_space_group_name_Hall 'P 1'
_cell_length_a 5.3135
_cell_length_b 5.3135
_cell_length_c 8.7897
_cell_angle_alpha 107.59
_cell_angle_beta 107.59
_cell_angle_gamma 90.00
loop_
_atom_site_label
_atom_site_type_symbol
_atom_site_fract_x
_atom_site_fract_y
_atom_site_fract_z
Ca1 Ca 0.1940 0.1940 0.3879
Ca2 Ca 0.0000 0.5000 0.0000
Ca3 Ca 0.8060 0.8060 0.6121
Ca4 Ca 0.5000 0.0000 0.0000
Hg1 Hg 0.6155 0.6155 0.2310
Hg2 Hg 0.3845 0.3845 0.7690
Cl1 Cl 0.0000 0.0000 0.0000

(3)
# CaHgCl2, relaxed, DFT GGA-PBE
# * excess energy over the best structure of this formula in the dataset: 0.4661 eV per atom
# * magnetization: 0.000 μB/f.u.
# * raw formation energy: -1.298 eV per atom
data_CaHgCl2
_chemical_formula_sum 'Ca1 Hg1 Cl2'
_symmetry_space_group_name_H-M 'P 1'
_symmetry_Int_Tables_number 1
_symmetry_space_group_name_Hall 'P 1'
_cell_length_a 8.1007
_cell_length_b 4.9380
_cell_length_c 4.1308
_cell_angle_alpha 89.85
_cell_angle_beta 59.55
_cell_angle_gamma 127.46
loop_
_atom_site_label
_atom_site_type_symbol
_atom_site_fract_x
_atom_site_fract_y
_atom_site_fract_z
Ca1 Ca 0.5000 0.5000 0.0000
Cl1 Cl 0.0000 0.0000 0.0000
Cl2 Cl 0.5000 0.0000 0.5000
Hg1 Hg 0.0000 0.5000 0.5000

(4)
# CaHgCl2, relaxed, DFT GGA-PBE
# * excess energy over the best structure of this formula in the dataset: 0.3136 eV per atom
# * magnetization: 0.000 μB/f.u.
# * raw formation energy: -1.451 eV per atom
data_CaHgCl2
_chemical_formula_sum 'Ca1 Hg1 Cl2'
_symmetry_space_group_name_H-M 'P 1'
_symmetry_Int_Tables_number 1
_symmetry_space_group_name_Hall 'P 1'
_cell_length_a 3.9801
_cell_length_b 3.9801
_cell_length_c 9.2104
_cell_angle_alpha 90.00
_cell_angle_beta 90.00
_cell_angle_gamma 90.00
loop_
_atom_site_label
_atom_site_type_symbol
_atom_site_fract_x
_atom_site_fract_y
_atom_site_fract_z
Hg1 Hg 0.0000 0.0000 0.4729
Cl1 Cl 0.5000 0.5000 0.2029
Cl2 Cl 0.0000 0.0000 0.8820
Ca1 Ca 0.5000 0.5000 0.9421